Here is Pr2Sb4Ir3 after structural relaxation from the Alexandria database. Energies are from PBEsol.

ΔE_f (raw) in kJ/mol of formula units: -625
E in eV/cell: -258.19
Space group: Pnma (62)

Cell: 4.5394 10.9704 16.1165 Å, 90.00 90.00 90.00°
Fractional coordinates of all 36 atoms:
Pr 0.7500 0.2485 0.9931
Sb 0.2500 0.8868 0.7112
Sb 0.2500 0.2760 0.6508
Sb 0.7500 0.9478 0.5680
Pr 0.2500 0.9104 0.2518
Pr 0.2500 0.7515 0.0069
Ir 0.7500 0.7232 0.1812
Sb 0.7500 0.7240 0.3492
Ir 0.7500 0.9660 0.9438
Ir 0.7500 0.7768 0.6812
Ir 0.2500 0.4660 0.5562
Ir 0.7500 0.9428 0.4069
Ir 0.2500 0.4428 0.0931
Sb 0.7500 0.9381 0.1063
Sb 0.7500 0.1132 0.2888
Ir 0.7500 0.5572 0.9069
Ir 0.2500 0.2768 0.8188
Pr 0.2500 0.7485 0.5069
Pr 0.7500 0.4104 0.2482
Sb 0.2500 0.4381 0.3937
Sb 0.2500 0.4478 0.9320
Sb 0.2500 0.6132 0.2112
Ir 0.2500 0.2232 0.3188
Ir 0.2500 0.0340 0.0562
Ir 0.2500 0.0572 0.5931
Sb 0.7500 0.5619 0.6063
Sb 0.7500 0.5522 0.0680
Sb 0.2500 0.2240 0.1508
Sb 0.7500 0.7760 0.8492
Sb 0.2500 0.0619 0.8937
Pr 0.7500 0.0896 0.7482
Ir 0.7500 0.5340 0.4438
Sb 0.2500 0.0522 0.4320
Pr 0.2500 0.5896 0.7518
Sb 0.7500 0.3868 0.7888
Pr 0.7500 0.2515 0.4931

Here is Pr2ZnIr after structural relaxation from the Alexandria database. Energies are from PBEsol.

Formation energy in eV/atom: -0.396
E in eV/cell: -23.36
Space group: Fm-3m (225)

Cell: 5.0520 5.0520 5.0520 Å, 60.00 60.00 60.00°
Fractional coordinates of all 4 atoms:
Zn 0.0000 0.0000 0.0000
Pr 0.2500 0.2500 0.2500
Ir 0.5000 0.5000 0.5000
Pr 0.7500 0.7500 0.7500

Here are the calculated V numbers, same order: 22.3, 22.8 (A^3/atom).